The following is a PBE calculation of Mg2Tl2Si after structural relaxation, from the Alexandria database.

a b c (Å): 8.4645 8.4645 3.3496
angles (deg): 90.00 90.00 90.00
Fractional positions:
Mg 0.1370 0.3630 0.0000
Mg 0.3630 0.8630 0.0000
Mg 0.6370 0.1370 0.0000
Mg 0.8630 0.6370 0.0000
Tl 0.1638 0.6638 0.5000
Tl 0.3362 0.1638 0.5000
Tl 0.6638 0.8362 0.5000
Tl 0.8362 0.3362 0.5000
Si 0.0000 0.0000 0.5000
Si 0.5000 0.5000 0.5000

Calculated values
Magnetization: 0.00 μB/f.u.
Crystal system: tetragonal
ΔE_f (raw): 0.31 eV/atom
Uncorrected energy: -0.17328 Ry per atom